(1)
This record from Alexandria via LeMat-Bulk describes crystalline YW2 at its relaxed geometry. The functional is GGA-PBEsol.

a = 5.8601 Å, b = 5.8601 Å, c = 5.8601 Å
α = 147.68°, β = 147.68°, γ = 46.36°
With the nearest neighbours (Å) after each atom.
Fractional coordinates of all 3 atoms:
Y 0.0000 0.0000 0.0000  10 W 3.09-3.33, 4 Y 3.26
W 0.3094 0.3094 0.0000  4 W 2.64
W 0.6906 0.6906 0.0000  4 W 2.64

***

(2)
This record from Alexandria via LeMat-Bulk describes crystalline YW2 at its relaxed geometry. The functional is GGA-PBEsol.

a = 4.1708 Å, b = 4.1708 Å, c = 4.4683 Å
α = 90.00°, β = 90.00°, γ = 120.00°
With the nearest neighbours (Å) after each atom.
Fractional coordinates of all 3 atoms:
Y 0.0000 0.0000 0.0000  12 W 3.28
W 0.3333 0.6667 0.5000  3 W 2.41
W 0.6667 0.3333 0.5000  3 W 2.41

***

(3)
This record from Alexandria via LeMat-Bulk describes crystalline Y3W at its relaxed geometry. The functional is GGA-PBEsol.

a = 3.2315 Å, b = 4.8041 Å, c = 6.4378 Å
α = 90.00°, β = 102.04°, γ = 90.00°
With the nearest neighbours (Å) after each atom.
Fractional coordinates of all 4 atoms:
Y 0.0000 0.0000 0.0000  2 W 3.22, 10 Y 3.23-3.41
Y 0.4029 0.5000 0.7229  2 W 2.96, 3 Y 3.06-3.23
Y 0.5971 0.5000 0.2771  2 W 2.96, 3 Y 3.06-3.23
W 0.0000 0.0000 0.5000  6 Y 2.96-3.22, 2 W 3.23

Values from the calculation:
Energy above the lowest structure with this stoichiometry (kJ/mol of formula units): 0

***

(4)
This record from Alexandria via LeMat-Bulk describes crystalline YZn2W at its relaxed geometry. The functional is GGA-PBEsol.

a = 5.2724 Å, b = 5.2724 Å, c = 5.2724 Å
α = 135.99°, β = 135.99°, γ = 63.99°
With the nearest neighbours (Å) after each atom.
Fractional coordinates of all 4 atoms:
Y 0.0000 0.0000 0.0000  8 Zn 2.79-2.98, 4 W 2.98
Zn 0.5000 0.5000 0.0000  4 Y 2.79, 4 W 2.98, 4 Zn 2.98
Zn 0.7500 0.2500 0.5000  4 W 2.79, 4 Zn 2.98, 4 Y 2.98
W 0.2500 0.7500 0.5000  8 Zn 2.79-2.98, 4 Y 2.98

Values from the calculation:
Energy above the lowest structure with this stoichiometry (kJ/mol of formula units): 23

***

Number 1: DFT total energy -33.34 eV/cell. Number 2: DFT total energy -31.95 eV/cell. Number 3: DFT total energy -32.24 eV/cell. Number 4: DFT total energy -22.45 eV/cell.